No. 1
Nd4S3NCl3: optimized geometry, PBE.

Values from the calculation:
M_tot in μB/atom: 0.00
Energy in eV per atom: -6.201
Formation energy (no corrections) in eV per atom: -2.081
Space group: No. 186

Cell lengths 9.3792, 9.3792, 6.8760 Å; angles 90.00, 90.00, 120.00 degrees
Last column: nearest neighbours and their distance in Å.
Fractional positions:
Cl (0.1314, 0.2629, 0.8626)  3 Nd 2.91-2.99
Cl (0.8686, 0.1314, 0.3626)  3 Nd 2.91-2.99
Cl (0.1314, 0.8686, 0.8626)  3 Nd 2.91-2.99
Cl (0.8686, 0.7371, 0.3626)  3 Nd 2.91-2.99
Cl (0.7371, 0.8686, 0.8626)  3 Nd 2.91-2.99
Cl (0.2629, 0.1314, 0.3626)  3 Nd 2.91-2.99
Nd (0.7978, 0.5956, 0.7520)  1 N 2.29
Nd (0.5956, 0.7978, 0.2520)  1 N 2.29
Nd (0.2022, 0.4044, 0.2520)  1 N 2.29
Nd (0.7978, 0.2022, 0.7520)  1 N 2.29
Nd (0.2022, 0.7978, 0.2520)  1 N 2.29
Nd (0.3333, 0.6667, 0.7864)  1 N 2.37
Nd (0.6667, 0.3333, 0.2864)  1 N 2.37
Nd (0.4044, 0.2022, 0.7520)  1 N 2.29
S (0.4674, 0.5326, 0.5302)  3 Nd 2.80-2.88
S (0.9348, 0.4674, 0.0302)  3 Nd 2.80-2.88
S (0.5326, 0.4674, 0.0302)  3 Nd 2.80-2.88
S (0.5326, 0.0652, 0.0302)  3 Nd 2.80-2.88
S (0.4674, 0.9348, 0.5302)  3 Nd 2.80-2.88
S (0.0652, 0.5326, 0.5302)  3 Nd 2.80-2.88
N (0.3333, 0.6667, 0.1314)  4 Nd 2.29-2.37
N (0.6667, 0.3333, 0.6314)  4 Nd 2.29-2.37

No. 2
Nd6S3N2Cl: optimized geometry, PBE.

Values from the calculation:
M_tot in μB/atom: 0.00
Energy in eV per atom: -6.654
Formation energy (no corrections) in eV per atom: -1.696
Space group: No. 12

Cell lengths 3.8701, 8.0267, 8.7836 Å; angles 102.64, 102.73, 90.00 degrees
Last column: nearest neighbours and their distance in Å.
Fractional positions:
Nd (0.0200, 0.2705, 0.0401)  1 N 2.53, 2 S 2.75
Nd (0.3232, 0.4350, 0.6464)  3 N 2.55-2.65
Nd (0.9800, 0.7295, 0.9599)  1 N 2.53, 2 S 2.75
Nd (0.6768, 0.5650, 0.3536)  3 N 2.55-2.65
Nd (0.6748, 0.1264, 0.3496)  2 N 2.58, 1 S 2.79
Nd (0.3252, 0.8736, 0.6504)  2 N 2.58, 1 S 2.79
S (0.5000, 0.5000, 0.0000)  6 Nd 2.75-2.96
S (0.1595, 0.8354, 0.3190)  6 Nd 2.79-3.00
S (0.8405, 0.1646, 0.6810)  6 Nd 2.79-3.00
Cl (0.5000, 0.0000, 0.0000)  6 Nd 2.87-2.94
N (0.8288, 0.6629, 0.6575)  6 Nd 2.53-2.65
N (0.1712, 0.3371, 0.3425)  6 Nd 2.53-2.65

No. 3
Nd6SN2Cl3: optimized geometry, PBE.

Values from the calculation:
M_tot in μB/atom: 0.00
Energy in eV per atom: -6.140
Formation energy (no corrections) in eV per atom: -1.563
Space group: No. 12

Cell lengths 6.6560, 6.6560, 7.3001 Å; angles 98.75, 98.75, 119.95 degrees
Last column: nearest neighbours and their distance in Å.
Fractional positions:
Nd (0.5784, 0.9355, 0.8060)  2 N 2.53-2.54, 1 S 2.73
Nd (0.0645, 0.4216, 0.1940)  2 N 2.53-2.54, 1 S 2.73
Nd (0.7077, 0.7077, 0.1930)  2 N 2.53, 1 S 2.73
Nd (0.2923, 0.2923, 0.8070)  2 N 2.53, 1 S 2.73
Nd (0.9355, 0.5784, 0.8060)  2 N 2.53-2.54, 1 S 2.73
Nd (0.4216, 0.0645, 0.1940)  2 N 2.53-2.54, 1 S 2.73
Cl (0.8377, 0.1623, 0.5000)  6 Nd 2.99-3.14
Cl (0.1623, 0.8377, 0.5000)  6 Nd 2.99-3.14
Cl (0.5000, 0.5000, 0.5000)  6 Nd 2.97-3.14
N (0.6667, 0.3333, 0.0000)  6 Nd 2.53-2.54
N (0.3333, 0.6667, 0.0000)  6 Nd 2.53-2.54
S (0.0000, 0.0000, 0.0000)  6 Nd 2.73

No. 4
TbNdNCl: optimized geometry, PBE.

Values from the calculation:
M_tot in μB/atom: 0.00
Energy in eV per atom: -6.456
Formation energy (no corrections) in eV per atom: -1.563
Space group: No. 160

Cell lengths 3.6250, 3.6251, 7.3206 Å; angles 90.00, 104.34, 120.00 degrees
Last column: nearest neighbours and their distance in Å.
Fractional positions:
Cl (0.9567, 0.3764, 0.3482)  3 Tb 2.96, 3 Nd 3.10
N (0.3234, 0.5596, 0.8983)  3 Tb 2.35, 3 Nd 2.62
Tb (0.0910, 0.9435, 0.0497)  3 N 2.35
Nd (0.5068, 0.1513, 0.6734)  3 N 2.62

No. 5
TbNd2N2Cl2: optimized geometry, PBE.

Values from the calculation:
M_tot in μB/atom: 0.13
Energy in eV per atom: -6.375
Formation energy (no corrections) in eV per atom: -1.445
Space group: No. 139

Cell lengths 4.5185, 4.5185, 8.2082 Å; angles 105.98, 105.98, 90.00 degrees
Last column: nearest neighbours and their distance in Å.
Fractional positions:
N (0.0000, 0.5000, 0.0000)  2 Tb 2.26
N (0.5000, 0.0000, 0.0000)  2 Tb 2.26
Nd (0.5981, 0.5981, 0.1961)  4 N 2.70, 1 Nd 2.97
Nd (0.4019, 0.4019, 0.8039)  4 N 2.70, 1 Nd 2.97
Cl (0.1851, 0.1851, 0.3701)  1 Tb 2.80
Cl (0.8149, 0.8149, 0.6299)  1 Tb 2.80
Tb (0.0000, 0.0000, 0.0000)  4 N 2.26

No. 6
NiNCl2: optimized geometry, PBE.

Values from the calculation:
M_tot in μB/atom: 0.23
Energy above the most stable polymorph in this dataset in meV per atom: 2070
Energy in eV per atom: -2.816
Formation energy (no corrections) in eV per atom: 1.634
Space group: No. 225

Cell lengths 4.2717, 4.2717, 4.2717 Å; angles 60.00, 60.00, 60.00 degrees
Last column: nearest neighbours and their distance in Å.
Fractional positions:
Cl (0.2500, 0.2500, 0.2500)  4 Ni 2.62, 4 N 2.62
Cl (0.7500, 0.7500, 0.7500)  4 N 2.62, 4 Ni 2.62
Ni (0.5000, 0.5000, 0.5000)  8 Cl 2.62
N (0.0000, 0.0000, 0.0000)  8 Cl 2.62